VASP calculation (PBE+U) on a relaxed Tb5V2O12 crystal.

Unit cell a=5.8087 b=6.7948 c=7.3705 alpha=105.77 beta=90.00 gamma=115.30
Site moments in Bohr magnetons follow the coordinates.
Sites, in units of the cell vectors:
1 O 0.5837 0.6819 0.9211  -0.02
2 O 0.4163 0.3181 0.0789  -0.02
3 V 0.2329 0.0000 0.0000  0.58
4 O 0.0967 0.6922 0.4234  0.00
5 O 0.5955 0.6922 0.4234  0.00
6 O 0.9993 0.9986 0.8147  -0.03
7 O 0.5000 0.0000 0.8234  -0.01
8 Tb 0.0000 0.0000 0.5000  0.02
9 V 0.7671 0.0000 0.0000  0.58
10 Tb 0.6895 0.3791 0.8304  0.00
11 O 0.5000 0.0000 0.1766  -0.01
12 Tb 0.3105 0.6209 0.1696  0.00
13 O 0.4045 0.3078 0.5766  0.00
14 O 0.0007 0.0014 0.1853  -0.03
15 Tb 0.3062 0.6124 0.6420  0.00
16 Tb 0.6938 0.3876 0.3580  0.00
17 O 0.0983 0.6819 0.9211  -0.02
18 O 0.9033 0.3078 0.5766  0.00
19 O 0.9017 0.3181 0.0789  -0.02

## Properties
The size of the total moment is 0.05 μB per atom. Its symmetry is C2/m. The value obtained for the total energy is -156.012 eV for the cell shown. The value obtained for the volume is 251 Å³/f.u.